This record from Alexandria via LeMat-Bulk describes NiSnNO2 after structural relaxation. The functional is GGA+U. Values from VASP.

## Properties
- Final energy: -0.3440 Ry per atom
- Magnetization: 3.0 μB/f.u.

Cell and atoms, written as Quantum ESPRESSO input:
```
&SYSTEM
  ibrav = 0, nat = 5, ntyp = 4
/
ATOMIC_SPECIES
Ni 58.69 Ni.upf
Sn 118.71 Sn.upf
O 16.00 O.upf
N 14.01 N.upf
ATOMIC_POSITIONS crystal
Ni 0.500 0.500 0.500
Sn 0.000 0.000 0.000
O 0.000 0.500 0.000
O 0.500 0.000 0.000
N 0.000 0.000 0.500
CELL_PARAMETERS angstrom
4.030 0.000 0.000
0.000 4.030 0.000
0.000 0.000 4.177
```